This record from Alexandria via LeMat-Bulk describes crystalline BaYCo2 at its relaxed geometry. The functional is PBE-GGA.

The space group is Imm2 (No. 44) and the conventional cell measures 3.925, 4.180 and 13.710 Å, with angles of 90.00, 90.00 and 90.00 degrees. Symmetry generates all atoms from Ba at (0.000, 0.000, 0.000), Y at (0.000, 0.500, 0.254), Co at (0.000, 0.000, 0.379) and Co at (0.000, 0.500, 0.810).

Its formation enthalpy at 0 K is 0.194 eV per atom. Its density of states at the Fermi level is 8.08 states/eV per cell.

This record from Alexandria via LeMat-Bulk describes crystalline BaYCo2 at its relaxed geometry. The functional is PBE-GGA.

The space group is Cm (No. 8) and the conventional cell measures 6.923, 3.998 and 8.158 Å, with angles of 90.00, 106.64 and 90.00 degrees. Symmetry generates all atoms from Ba at (0.000, 0.000, 0.000), Y at (0.326, 0.500, 0.483), Co at (0.065, 0.500, 0.699) and Co at (0.231, 0.000, 0.697).

Its formation enthalpy at 0 K is 0.049 eV per atom. Its density of states at the Fermi level is 11.35 states/eV per cell.

This record from Alexandria via LeMat-Bulk describes crystalline Ba2YCo at its relaxed geometry. The functional is PBE-GGA.

The space group is P4mm (No. 99) and the conventional cell measures 3.709, 3.709 and 10.460 Å, with angles of 90.00, 90.00 and 90.00 degrees. Symmetry generates all atoms from Ba at (0.000, 0.000, 0.000), Ba at (0.500, 0.500, 0.367), Y at (0.500, 0.500, 0.694) and Co at (0.000, 0.000, 0.572).

Its formation enthalpy at 0 K is 0.220 eV per atom. Its density of states at the Fermi level is 4.84 states/eV per cell.

This record from Alexandria via LeMat-Bulk describes crystalline BaY2Co at its relaxed geometry. The functional is PBE-GGA.

The space group is C2/m (No. 12) and the conventional cell measures 12.562, 3.680 and 6.171 Å, with angles of 90.00, 119.26 and 90.00 degrees. Symmetry generates all atoms from Ba at (0.000, 0.000, 0.000), Y at (0.176, 0.000, 0.676) and Co at (0.000, 0.500, 0.500).

Its formation enthalpy at 0 K is 0.166 eV per atom. Its density of states at the Fermi level is 8.70 states/eV per cell.